PBE La2Pu2N3, optimized geometry; total magnetization = 1.6583 μB/atom; symmetry = No. 12; raw formation energy = -7.42 eV/f.u.; mass density = 10.03 g/cm³; total energy = -10.1304 eV/atom
1.0
-2.8149 0.8368 2.1253
2.7288 -1.3037 7.2190
2.1603 4.1614 4.3143
N Pu La
3 2 2
Direct
0.7380 0.7281 0.7960
0.2620 0.2719 0.2040
0.0000 0.0000 0.0000
0.1340 0.6439 0.0882
0.8660 0.3561 0.9118
0.3791 0.8628 0.3790
0.6209 0.1372 0.6210

***

PBE La2PuN4, optimized geometry; total magnetization = 0.2857 μB/atom; symmetry = No. 55; raw formation energy = -8.67 eV/f.u.; mass density = 8.56 g/cm³; total energy = -9.4512 eV/atom
1.0
-1.3234 2.5395 2.1970
1.0477 -3.6171 4.8121
9.2976 3.9971 0.9802
La N Pu
4 8 2
Direct
0.5000 0.4346 0.6759
0.5000 0.9346 0.8241
0.5000 0.5654 0.3241
0.5000 0.0654 0.1759
0.0000 0.3673 0.1814
0.5000 0.2236 0.4548
0.0000 0.6327 0.8186
0.0000 0.1327 0.6814
0.5000 0.7236 0.0452
0.0000 0.8673 0.3186
0.5000 0.2764 0.9548
0.5000 0.7764 0.5452
0.0000 0.0000 0.5000
0.0000 0.5000 0.0000

***

PBE LaPuN3, optimized geometry; total magnetization = 0.4000 μB/atom; symmetry = No. 12; raw formation energy = -5.70 eV/f.u.; mass density = 9.46 g/cm³; total energy = -9.9865 eV/atom
1.0
5.7786 0.1121 1.6663
2.6771 5.1223 1.6663
0.0522 0.0323 10.2014
N Pu La
12 4 4
Direct
0.8501 0.8329 0.3538
0.3336 0.3492 0.3541
0.8177 0.3175 0.4117
0.6664 0.6508 0.6459
0.3492 0.3336 0.8541
0.1823 0.6825 0.5883
0.8329 0.8501 0.8538
0.1499 0.1671 0.6462
0.3175 0.8177 0.9117
0.6825 0.1823 0.0883
0.1671 0.1499 0.1462
0.6508 0.6664 0.1459
0.5000 0.0000 0.0000
0.0000 0.5000 0.5000
0.7502 0.2498 0.2500
0.2498 0.7502 0.7500
0.6160 0.1166 0.6306
0.8834 0.3840 0.8694
0.1166 0.6160 0.1306
0.3840 0.8834 0.3694

***

PBE La3PuN4, optimized geometry; total magnetization = 0.5795 μB/atom; symmetry = No. 65; raw formation energy = -10.14 eV/f.u.; mass density = 8.51 g/cm³; offset from the most stable computed form = 0.0 meV/atom; total energy = -9.0698 eV/atom
1.0
3.6741 0.0000 0.0000
0.0000 6.3478 0.2372
0.0000 -2.3229 5.9122
N La Pu
4 3 1
Direct
0.0000 0.7706 0.7706
0.5000 0.7675 0.2325
0.5000 0.2325 0.7675
0.0000 0.2294 0.2294
0.0000 0.5000 0.0000
0.0000 0.0000 0.5000
0.5000 0.5000 0.5000
0.5000 0.0000 0.0000

***

PBE La2Pu3N8, optimized geometry; total magnetization = 0.4615 μB/atom; symmetry = No. 186; raw formation energy = -12.13 eV/f.u.; mass density = 8.46 g/cm³; total energy = -10.1218 eV/atom
1.0
6.9128 0.0000 0.0000
-3.4564 5.9866 0.0000
0.0000 0.0000 10.6422
La N Pu
4 16 6
Direct
0.3333 0.6667 0.8880
0.6667 0.3333 0.3880
0.6667 0.3333 0.0336
0.3333 0.6667 0.5336
0.3333 0.6667 0.1408
0.8384 0.1616 0.1688
0.3232 0.1616 0.1688
0.0000 0.0000 0.8322
0.4700 0.5300 0.3530
0.6768 0.8384 0.6688
0.4700 0.9400 0.3530
0.1616 0.8384 0.6688
0.5300 0.4700 0.8530
0.0600 0.5300 0.3530
0.1616 0.3232 0.6688
0.6667 0.3333 0.6408
0.0000 0.0000 0.3322
0.8384 0.6768 0.1688
0.5300 0.0600 0.8530
0.9400 0.4700 0.8530
0.6676 0.8338 0.2444
0.1662 0.8338 0.2444
0.8338 0.1662 0.7444
0.1662 0.3323 0.2444
0.3324 0.1662 0.7444
0.8338 0.6677 0.7444

***

PBE La2PuN3, optimized geometry; total magnetization = 0.7695 μB/atom; symmetry = No. 65; raw formation energy = -7.06 eV/f.u.; mass density = 8.58 g/cm³; offset from the most stable computed form = 101.9 meV/atom; total energy = -9.3708 eV/atom
1.0
-0.2800 -3.5037 0.9357
5.0246 -0.6702 -1.0056
-1.2299 1.7009 6.0005
N La Pu
3 2 1
Direct
0.5000 0.1264 0.2528
0.5000 0.8736 0.7472
0.0000 0.5000 0.0000
0.5000 0.6519 0.3038
0.5000 0.3481 0.6962
0.0000 0.0000 0.0000

***

PBE La2Pu2N5, optimized geometry; total magnetization = 0.2073 μB/atom; symmetry = No. 46; raw formation energy = -10.35 eV/f.u.; mass density = 9.09 g/cm³; total energy = -10.0554 eV/atom
1.0
5.8187 0.0000 -1.9068
-0.6010 5.5521 -1.8340
-0.1144 0.0084 9.4824
N La Pu
10 4 4
Direct
0.2362 0.7265 0.9633
0.8587 0.1302 0.5000
0.2153 0.1261 0.2590
0.7729 0.2632 0.0367
0.4563 0.3671 0.7410
0.7638 0.7632 0.0367
0.5437 0.6261 0.2590
0.2271 0.2265 0.9633
0.1413 0.6302 0.5000
0.7847 0.8671 0.7410
0.8672 0.3717 0.7734
0.1328 0.5982 0.2266
0.4062 0.8717 0.7734
0.5938 0.0982 0.2266
0.7957 0.7620 0.5000
0.2043 0.2620 0.5000
0.5000 0.4909 0.0000
0.0000 0.9909 0.0000

***

PBE La2PuN3, optimized geometry; total magnetization = 0.7661 μB/atom; symmetry = No. 71; raw formation energy = -7.67 eV/f.u.; mass density = 9.10 g/cm³; offset from the most stable computed form = 0.0 meV/atom; total energy = -9.4727 eV/atom
1.0
-0.6581 3.5542 0.0413
-5.0765 -0.9426 0.2279
3.1175 -1.3234 5.3676
N Pu La
3 1 2
Direct
0.1407 0.6407 0.7813
0.8593 0.3593 0.2187
0.5000 0.0000 0.5000
0.5000 0.5000 0.5000
0.1640 0.1640 0.8281
0.8360 0.8360 0.1719

***

PBE La2PuN, optimized geometry; total magnetization = 1.4889 μB/atom; symmetry = No. 166; raw formation energy = -1.70 eV/f.u.; mass density = 8.29 g/cm³; total energy = -8.5534 eV/atom
1.0
-3.3150 0.2674 -1.3051
-1.3507 -2.6351 -1.9990
-5.0466 -5.0626 6.8910
La Pu N
2 1 1
Direct
0.1167 0.1167 0.6499
0.8833 0.8833 0.3501
0.0000 0.0000 0.0000
0.5000 0.5000 0.5000

***

PBE La2Pu2N7, optimized geometry; total magnetization = 0.0897 μB/atom; symmetry = No. 65; raw formation energy = -7.27 eV/f.u.; mass density = 9.05 g/cm³; total energy = -9.4602 eV/atom
1.0
-3.4998 3.7021 2.2532
-4.0606 -2.1795 -2.7262
-0.4314 -3.0663 4.3683
Pu N La
2 7 2
Direct
0.0000 0.2746 0.7254
0.0000 0.7254 0.2746
0.7747 0.0000 0.5000
0.7747 0.5000 0.0000
0.2253 0.5000 0.0000
0.7758 0.5000 0.5000
0.2253 0.0000 0.5000
0.2242 0.5000 0.5000
0.0000 0.0000 0.0000
0.5000 0.7539 0.7539
0.5000 0.2461 0.2461

***

PBE LaPu3N6, optimized geometry; total magnetization = 0.9000 μB/atom; symmetry = No. 11; raw formation energy = -10.98 eV/f.u.; mass density = 11.21 g/cm³; total energy = -10.8855 eV/atom
1.0
3.5346 0.0000 0.0000
0.0000 7.8505 -4.5267
0.0000 -1.2983 10.9428
La Pu N
2 6 12
Direct
0.2500 0.6146 0.6910
0.7500 0.3854 0.3090
0.7500 0.0837 0.9135
0.2500 0.8409 0.5227
0.7500 0.1591 0.4773
0.2500 0.3470 0.8229
0.2500 0.9163 0.0865
0.7500 0.6530 0.1771
0.7500 0.8494 0.9205
0.2500 0.1506 0.0795
0.7500 0.9515 0.2211
0.7500 0.6979 0.5653
0.2500 0.1264 0.5772
0.7500 0.8736 0.4228
0.2500 0.3021 0.4347
0.7500 0.4069 0.7141
0.7500 0.3520 0.9557
0.2500 0.6480 0.0443
0.2500 0.0485 0.7789
0.2500 0.5931 0.2859

***

PBE La3PuN4, optimized geometry; total magnetization = 0.5722 μB/atom; symmetry = No. 123; raw formation energy = -10.10 eV/f.u.; mass density = 8.42 g/cm³; offset from the most stable computed form = 5.4 meV/atom; total energy = -9.0644 eV/atom
1.0
3.6832 0.0000 0.0000
0.0000 3.6832 0.0000
0.0000 0.0000 10.4231
La N Pu
3 4 1
Direct
0.5000 0.5000 0.2429
0.0000 0.0000 0.5000
0.5000 0.5000 0.7571
0.0000 0.0000 0.2231
0.5000 0.5000 0.0000
0.5000 0.5000 0.5000
0.0000 0.0000 0.7769
0.0000 0.0000 0.0000

***

PBE LaPuN3, optimized geometry; total magnetization = 0.4000 μB/atom; symmetry = No. 182; raw formation energy = -3.86 eV/f.u.; mass density = 7.98 g/cm³; total energy = -9.6187 eV/atom
1.0
5.5371 0.0000 0.0000
0.0000 6.0728 0.0000
0.0000 -3.0364 5.2592
La Pu N
2 2 6
Direct
0.2500 0.6667 0.3333
0.7500 0.3333 0.6667
0.2500 0.0000 0.0000
0.7500 0.0000 0.0000
0.0000 0.7222 0.7222
0.0000 0.0000 0.2778
0.5000 0.0000 0.7222
0.0000 0.2778 0.0000
0.5000 0.7222 0.0000
0.5000 0.2778 0.2778

***

PBE La6PuN8, optimized geometry; total magnetization = 0.1333 μB/atom; symmetry = No. 148; raw formation energy = -16.66 eV/f.u.; mass density = 7.59 g/cm³; total energy = -8.4771 eV/atom
1.0
-3.8479 2.2353 -4.9905
-1.3996 -5.1125 -4.0757
-6.2955 -1.9593 1.1116
N La Pu
8 6 1
Direct
0.6809 0.6809 0.6809
0.1538 0.6834 0.9127
0.3191 0.3191 0.3191
0.8462 0.3166 0.0873
0.9127 0.1538 0.6834
0.3166 0.0873 0.8462
0.6834 0.9127 0.1538
0.0873 0.8462 0.3166
0.2860 0.9557 0.5066
0.4934 0.7140 0.0443
0.0443 0.4934 0.7140
0.9557 0.5066 0.2860
0.5066 0.2860 0.9557
0.7140 0.0443 0.4934
0.0000 0.0000 0.0000

***

PBE LaPu3N4, optimized geometry; total magnetization = 0.6069 μB/atom; symmetry = No. 13; raw formation energy = -9.60 eV/f.u.; mass density = 12.28 g/cm³; total energy = -11.3525 eV/atom
1.0
6.1286 0.0566 0.0000
-2.0945 5.7539 0.0000
0.0000 0.0000 7.0880
N Pu La
8 6 2
Direct
0.5045 0.7228 0.1349
0.5128 0.2569 0.3879
0.9955 0.2772 0.1349
0.0045 0.7228 0.8651
0.9872 0.7431 0.3879
0.0128 0.2569 0.6121
0.4955 0.2772 0.8651
0.4872 0.7431 0.6121
0.2500 0.5000 0.8731
0.2500 0.0000 0.6237
0.2500 0.5000 0.3766
0.7500 0.0000 0.3763
0.7500 0.5000 0.6234
0.7500 0.5000 0.1269
0.2500 0.0000 0.1275
0.7500 0.0000 0.8725

***

PBE LaPu2RuN4, optimized geometry; total magnetization = 0.9512 μB/atom; symmetry = No. 63; raw formation energy = -7.57 eV/f.u.; mass density = 11.09 g/cm³; total energy = -10.4677 eV/atom
1.0
3.4110 0.0000 0.0000
-1.7055 5.8814 0.0000
0.0000 0.0000 11.7063
Pu N La Ru
4 8 2 2
Direct
0.3691 0.7383 0.9491
0.3691 0.7383 0.5509
0.6309 0.2617 0.4491
0.6309 0.2617 0.0509
0.0000 0.0000 0.0000
0.5526 0.1052 0.2500
0.2640 0.5280 0.1115
0.2640 0.5280 0.3885
0.4474 0.8948 0.7500
0.7360 0.4720 0.8885
0.0000 0.0000 0.5000
0.7360 0.4720 0.6115
0.8942 0.7883 0.2500
0.1058 0.2117 0.7500
0.8461 0.6923 0.7500
0.1539 0.3077 0.2500

***

PBE LaPuRuN3, optimized geometry; total magnetization = 0.6138 μB/atom; symmetry = No. 11; raw formation energy = -4.44 eV/f.u.; mass density = 9.15 g/cm³; total energy = -9.6582 eV/atom
1.0
3.4249 0.0000 0.0000
0.0000 7.3272 0.7367
0.0000 -2.0668 7.3982
Ru La N Pu
2 2 6 2
Direct
0.7500 0.8954 0.4121
0.2500 0.1046 0.5879
0.7500 0.8274 0.8055
0.2500 0.1726 0.1945
0.2500 0.1338 0.8604
0.7500 0.1854 0.4683
0.7500 0.8662 0.1396
0.2500 0.5734 0.8740
0.2500 0.8146 0.5317
0.7500 0.4266 0.1260
0.2500 0.6471 0.1653
0.7500 0.3529 0.8347

***

PBE La2Pu2Sb2N, optimized geometry; total magnetization = 1.7051 μB/atom; symmetry = No. 139; raw formation energy = -7.41 eV/f.u.; mass density = 8.96 g/cm³; total energy = -8.9277 eV/atom
1.0
-3.6431 2.0024 2.2510
-2.8777 -1.2670 -3.5303
1.6588 -7.7128 4.5814
La Pu N Sb
2 2 1 2
Direct
0.8348 0.8348 0.6697
0.1652 0.1652 0.3303
0.0000 0.5000 0.0000
0.5000 0.0000 0.0000
0.0000 0.0000 0.0000
0.3618 0.3618 0.7235
0.6382 0.6382 0.2765

***

PBE La4Pu2Sb3N2, optimized geometry; total magnetization = 0.9922 μB/atom; symmetry = No. 139; raw formation energy = -11.32 eV/f.u.; mass density = 7.66 g/cm³; total energy = -8.0644 eV/atom
1.0
-0.5718 0.8653 -4.7775
2.3104 -4.1824 -1.0341
-12.2608 -4.6872 3.1198
Pu La Sb N
2 4 3 2
Direct
0.3054 0.3054 0.6108
0.6946 0.6946 0.3892
0.5864 0.0864 0.1729
0.4136 0.9136 0.8271
0.9136 0.4136 0.8271
0.0864 0.5864 0.1729
0.8196 0.8196 0.6392
0.0000 0.0000 0.0000
0.1804 0.1804 0.3608
0.3895 0.3895 0.7790
0.6105 0.6105 0.2210

***

PBE La2PuSe2N2, optimized geometry; total magnetization = 0.5686 μB/atom; symmetry = No. 139; raw formation energy = -11.31 eV/f.u.; mass density = 7.87 g/cm³; total energy = -8.4450 eV/atom
1.0
-2.0501 3.2264 2.0953
-3.1763 -2.7591 1.1408
6.5247 -2.0182 4.9570
Se N La Pu
2 2 2 1
Direct
0.8184 0.8184 0.6368
0.1816 0.1816 0.3632
0.0000 0.5000 0.0000
0.5000 0.0000 0.0000
0.3809 0.3809 0.7617
0.6191 0.6191 0.2383
0.0000 0.0000 0.0000